# 1
Below is a relaxed structure of RbLiCoTc, with properties calculated at the PBE-GGA level.

Properties
Crystal system   cubic

a b c (Å): 4.759 4.759 4.759
angles (deg): 60.00 60.00 60.00
Atoms (fractional coordinates):
Rb (0.000, 0.000, 0.000)
Li (0.750, 0.750, 0.750)
Co (0.250, 0.250, 0.250)
Tc (0.500, 0.500, 0.500)

# 2
Below is a relaxed structure of LiZnCoRe, with properties calculated at the PBE-GGA level.

Properties
Crystal system   cubic

a b c (Å): 4.091 4.091 4.091
angles (deg): 60.00 60.00 60.00
Atoms (fractional coordinates):
Li (0.000, 0.000, 0.000)
Zn (0.250, 0.250, 0.250)
Co (0.500, 0.500, 0.500)
Re (0.750, 0.750, 0.750)

# 3
Below is a relaxed structure of LiZnCoRe, with properties calculated at the PBE-GGA level.

Properties
Crystal system   cubic

a b c (Å): 4.164 4.164 4.164
angles (deg): 60.00 60.00 60.00
Atoms (fractional coordinates):
Li (0.000, 0.000, 0.000)
Zn (0.500, 0.500, 0.500)
Co (0.750, 0.750, 0.750)
Re (0.250, 0.250, 0.250)

no.,excess energy over the best structure of this formula in the dataset (eV/atom),magnetic moment (Bohr magnetons per cell)
1,0.000,4.026
2,0.000,0.995
3,0.374,2.429